PrDyZr: relaxed, PBE.

Cell lengths 3.4166, 4.8062, 10.8995 Å; angles 90.00, 98.92, 90.00 degrees
Atoms (fractional coordinates):
1 Pr 0.0537 0.2500 0.1026
2 Pr 0.9463 0.7500 0.8974
3 Dy 0.3603 0.2500 0.7237
4 Dy 0.6397 0.7500 0.2763
5 Zr 0.2167 0.2500 0.4318
6 Zr 0.7833 0.7500 0.5682

Summary:
Formation energy from the elements in eV per atom: 0.137
Energy above the most stable polymorph in this dataset in meV/atom: 27
Raw total energy in eV per atom: -5.840